Entry 1:
Compound: La2Zn4Cu5
Source: the Alexandria database
Functional: PBE
Structure: relaxed

Properties
Space-group type: C2/m (12)
Mass density in g cm⁻³: 6.9
Formation energy in meV/atom: -114
Final energy in eV per atom: -3.33

Cell lengths 5.1447, 7.0304, 6.7593 Å; angles 71.48, 67.63, 68.54 degrees
Closest atoms and distances in Å follow each position.
Fractional positions:
Cu 0.7916 0.7394 0.1872  4 Zn 2.47-2.71, 3 Cu 2.52-2.62
Zn 0.3817 0.0611 0.1756  2 Zn 2.45-2.49, 4 Cu 2.47-2.71
Zn 0.6183 0.9389 0.8244  2 Zn 2.45-2.49, 4 Cu 2.47-2.71
La 0.7032 0.2348 0.3589  6 Zn 3.12-3.22, 4 Cu 3.16-3.32
Cu 0.0000 0.5000 0.5000  4 Cu 2.57, 2 Zn 2.66
Zn 0.7678 0.5555 0.9089  1 Zn 2.45, 5 Cu 2.48-2.66
Cu 0.2817 0.7394 0.1872  4 Zn 2.47-2.71, 3 Cu 2.52-2.62
Cu 0.2084 0.2606 0.8128  4 Zn 2.47-2.71, 3 Cu 2.52-2.62
Zn 0.2322 0.4445 0.0911  1 Zn 2.45, 5 Cu 2.48-2.66
La 0.2968 0.7652 0.6411  6 Zn 3.12-3.22, 4 Cu 3.16-3.32
Cu 0.7183 0.2606 0.8128  4 Zn 2.47-2.71, 3 Cu 2.52-2.62

---

Entry 2:
Compound: La3ZnCu2
Source: the Alexandria database
Functional: PBE
Structure: relaxed

Properties
Space-group type: Cmmm (65)
Mass density in g cm⁻³: 6.7
Energy above the lowest structure with this stoichiometry in eV per formula unit: 0.018
Formation energy in meV/atom: -190
Final energy in eV per atom: -4.23

Cell lengths 3.7093, 5.2193, 8.2348 Å; angles 108.48, 90.00, 90.00 degrees
Closest atoms and distances in Å follow each position.
Fractional positions:
Zn 0.0000 0.0000 0.0000  8 La 3.20-3.27
La 0.5000 0.1722 0.3445  6 Cu 3.21-3.23, 2 Zn 3.27, 2 La 3.57
La 0.5000 0.8278 0.6555  6 Cu 3.21-3.23, 2 Zn 3.27, 2 La 3.57
Cu 0.0000 0.3413 0.6826  8 La 3.10-3.23
Cu 0.0000 0.6587 0.3174  8 La 3.10-3.23
La 0.5000 0.5000 0.0000  4 Cu 3.10, 4 Zn 3.20

---

Entry 3:
Compound: La8Zn3Cu2
Source: the Alexandria database
Functional: PBE
Structure: relaxed

Properties
Space-group type: Cmmm (65)
Mass density in g cm⁻³: 6.4
Formation energy in meV/atom: -75
Final energy in eV per atom: -4.03

Cell lengths 5.4531, 8.4592, 9.0883 Å; angles 117.74, 90.00, 90.00 degrees
Closest atoms and distances in Å follow each position.
Fractional positions:
La 0.0000 0.6952 0.3904  2 Cu 3.06, 1 La 3.24, 2 Zn 3.40
La 0.0000 0.3048 0.6096  2 Cu 3.06, 1 La 3.24, 2 Zn 3.40
La 0.0000 0.8964 0.7928  4 Zn 3.20-3.37, 2 La 3.24-3.33, 2 Cu 3.29
Zn 0.5000 0.0000 0.0000  8 La 3.12-3.20
Zn 0.0000 0.6541 0.0000  1 Zn 2.61
La 0.5000 0.5890 0.7646  2 Cu 2.96-3.17, 1 Zn 3.12
La 0.0000 0.1036 0.2072  4 Zn 3.20-3.37, 2 La 3.24-3.33, 2 Cu 3.29
La 0.5000 0.8244 0.2354  2 Cu 2.96-3.17, 1 Zn 3.12
Cu 0.5000 0.2181 0.4362  8 La 2.96-3.29
La 0.5000 0.1756 0.7646  2 Cu 2.96-3.17, 1 Zn 3.12
Cu 0.5000 0.7819 0.5638  8 La 2.96-3.29
La 0.5000 0.4110 0.2354  2 Cu 2.96-3.17, 1 Zn 3.12
Zn 0.0000 0.3459 0.0000  1 Zn 2.61

---

Repeat the first record exactly.
Compound: La2Zn4Cu5
Source: the Alexandria database
Functional: PBE
Structure: relaxed

Properties
Space-group type: C2/m (12)
Mass density in g cm⁻³: 6.9
Formation energy in meV/atom: -114
Final energy in eV per atom: -3.33

Cell lengths 5.1447, 7.0304, 6.7593 Å; angles 71.48, 67.63, 68.54 degrees
Closest atoms and distances in Å follow each position.
Fractional positions:
Cu 0.7916 0.7394 0.1872  4 Zn 2.47-2.71, 3 Cu 2.52-2.62
Zn 0.3817 0.0611 0.1756  2 Zn 2.45-2.49, 4 Cu 2.47-2.71
Zn 0.6183 0.9389 0.8244  2 Zn 2.45-2.49, 4 Cu 2.47-2.71
La 0.7032 0.2348 0.3589  6 Zn 3.12-3.22, 4 Cu 3.16-3.32
Cu 0.0000 0.5000 0.5000  4 Cu 2.57, 2 Zn 2.66
Zn 0.7678 0.5555 0.9089  1 Zn 2.45, 5 Cu 2.48-2.66
Cu 0.2817 0.7394 0.1872  4 Zn 2.47-2.71, 3 Cu 2.52-2.62
Cu 0.2084 0.2606 0.8128  4 Zn 2.47-2.71, 3 Cu 2.52-2.62
Zn 0.2322 0.4445 0.0911  1 Zn 2.45, 5 Cu 2.48-2.66
La 0.2968 0.7652 0.6411  6 Zn 3.12-3.22, 4 Cu 3.16-3.32
Cu 0.7183 0.2606 0.8128  4 Zn 2.47-2.71, 3 Cu 2.52-2.62